Density functional theory data (PBE with a Hubbard U) for a geometry-optimized PmMnV2O8 structure.

Its volume is 13.90 Å³ per atom. Its total energy is -183.28 eV/cell. The crystal system is tetragonal. The magnetization is 3.95 μB per formula unit. Its density of states at the Fermi level is 0.81 states/eV/atom.

The structure belongs to space group I-4m2 (No. 119); the cell edges are 7.2037, 7.2037 and 6.4287 Å and the angles 90.00°, 90.00° and 90.00°. The asymmetric unit holds Pm at (0.0000, 0.0000, 0.0000), Mn at (0.0000, 0.5000, 0.2500), V at (0.0000, 0.0000, 0.5000), V at (0.0000, 0.5000, 0.7500), O at (0.0000, 0.1896, 0.3299) and O at (0.0000, 0.3158, 0.9228).